Entry from the Alexandria database: a relaxed CsRb2InI6 crystal (PBE).

Values from the calculation:
For the total energy, the calculation gives -2.56 eV/atom. As for the uncorrected formation energy: -1079.6 meV/atom. Its magnetization is 0.0 μB/f.u. Its space group is R3, No. 146. The energy above the lowest structure with this stoichiometry is 0 meV/atom.

Lattice parameters (Å, degrees): 9.034 9.035 9.278 60.87 60.87 59.99
Positions (direct):
Cs  0.815  0.815  0.554
Rb  0.533  0.533  0.402
Rb  0.020  0.020  0.940
In  0.325  0.325  0.024
I  0.542  0.218  0.241
I  0.218  0.999  0.241
I  0.999  0.542  0.241
I  0.420  0.658  0.791
I  0.658  0.131  0.791
I  0.131  0.420  0.791